1.
Here is a geometry-optimized KBaS2N structure from Alexandria. Energies are from GGA-PBE.

Geometry as extended XYZ:
```
5
Lattice="5.6300 0.0000 0.0000 0.0000 5.6300 0.0000 0.0000 0.0000 4.8997" Properties=species:S:1:pos:R:3 pbc="T T T"
S 0.0000 2.8150 0.0000
S 2.8150 0.0000 0.0000
K 0.0000 0.0000 0.0000
Ba 2.8150 2.8150 2.4498
N 0.0000 0.0000 2.4498
```

Summary:
- crystal system = tetragonal
- V (Å³ per cell) = 155.3
- magnetization (μB per cell) = 4.02
- polymorph energy (0 for the lowest one) (eV per atom) = 0.126

=====

2.
Here is a geometry-optimized KBa2SbN structure from Alexandria. Energies are from GGA-PBE.

Geometry as extended XYZ:
```
5
Lattice="5.4907 0.0000 0.0000 0.0000 5.4907 0.0000 0.0000 0.0000 5.4673" Properties=species:S:1:pos:R:3 pbc="T T T"
Sb 2.7453 2.7453 2.7336
K 0.0000 0.0000 2.7336
Ba 0.0000 2.7453 0.0000
Ba 2.7453 0.0000 0.0000
N 0.0000 0.0000 0.0000
```

Summary:
- crystal system = tetragonal
- V (Å³ per cell) = 164.8
- magnetization (μB per cell) = 0.83

=====

3.
Here is a geometry-optimized K2BaSrN structure from Alexandria. Energies are from GGA-PBE.

Geometry as extended XYZ:
```
5
Lattice="6.5780 0.0000 0.0000 0.0000 6.5780 0.0000 0.0000 0.0000 4.9837" Properties=species:S:1:pos:R:3 pbc="T T T"
Sr 0.0000 0.0000 2.4918
K 0.0000 3.2890 0.0000
K 3.2890 0.0000 0.0000
Ba 3.2890 3.2890 2.4918
N 0.0000 0.0000 0.0000
```

Summary:
- crystal system = tetragonal
- V (Å³ per cell) = 215.6
- magnetization (μB per cell) = 0.00
- polymorph energy (0 for the lowest one) (eV per atom) = 0.032

=====

4.
Here is a geometry-optimized K2BaSrN structure from Alexandria. Energies are from GGA-PBE.

Geometry as extended XYZ:
```
5
Lattice="-6.0506 3.0649 -0.2140 -2.0694 -3.9368 2.1282 1.1521 2.7015 6.1175" Properties=species:S:1:pos:R:3 pbc="T T T"
Sr -3.4840 0.9148 4.0159
K 0.5760 1.3508 3.0588
K -3.0253 1.5324 -0.1070
Ba -1.0347 -1.9684 1.0641
N 0.0000 0.0000 0.0000
```

Summary:
- crystal system = tetragonal
- V (Å³ per cell) = 227.1
- magnetization (μB per cell) = 0.00
- polymorph energy (0 for the lowest one) (eV per atom) = 0.000

=====

5.
Here is a geometry-optimized K2BaTc2N6 structure from Alexandria. Energies are from GGA-PBE.

Geometry as extended XYZ:
```
11
Lattice="-1.9141 2.9353 -5.6109 -3.1684 -5.3393 2.1874 -0.8774 6.7222 3.8159" Properties=species:S:1:pos:R:3 pbc="T T T"
K -2.7989 1.0356 -2.4031
K -3.1610 3.2825 2.7955
Ba -1.3957 4.8287 -0.8975
Tc -5.5830 3.2145 -0.3135
Tc -0.3769 1.1037 0.7059
N -3.8713 3.3849 -0.8083
N -3.2773 -2.9009 1.7648
N -1.6203 5.5900 1.7417
N -2.6826 7.2191 -1.3724
N -4.3396 -1.2719 -1.3493
N -2.0886 0.9333 1.2007
```

Summary:
- crystal system = monoclinic
- V (Å³ per cell) = 242.8
- magnetization (μB per cell) = 2.00

=====

6.
Here is a geometry-optimized KBa2TcN4 structure from Alexandria. Energies are from GGA-PBE.

Geometry as extended XYZ:
```
16
Lattice="-4.5930 0.7702 3.9196 2.8486 -3.8923 4.1028 4.0584 6.6133 3.4561" Properties=species:S:1:pos:R:3 pbc="T T T"
K 2.8518 2.1158 3.0408
K -0.3820 -2.2977 4.8451
Ba -0.7967 1.1950 3.7275
Ba 1.2871 4.5906 5.5021
Ba 5.1880 1.8497 5.8852
Ba 3.2134 -1.3679 4.2037
Tc 1.9741 0.6588 6.8594
Tc -3.9363 -0.0974 4.8087
N -0.9714 -0.0679 1.2706
N 1.2249 0.2577 8.5066
N 3.5521 -0.2751 6.7934
N -3.4749 0.4945 3.1343
N 2.3956 2.4242 6.7327
N -2.6352 0.4661 5.9488
N -0.0333 4.7058 8.1645
N 0.9390 0.0506 5.4922
```

Summary:
- crystal system = orthorhombic
- V (Å³ per cell) = 327.4
- magnetization (μB per cell) = 0.00

=====

no.,N(E_F) (states/eV per cell),E_form (uncorrected) (eV per atom)
1,2.46,0.34
2,4.86,-0.45
3,8.20,0.33
4,5.95,0.30
5,0.46,0.05
6,0.00,-0.55